No. 1
A plane-wave DFT calculation with PBE was carried out for NpU3Os2 after structural relaxation.

Lattice parameters (Å, degrees): 4.5087 5.4885 5.5961 64.06 66.24 65.75
Atoms (fractional coordinates):
Np1 0.1579 0.4218 0.2625
U1 0.8610 0.5705 0.7075
U2 0.8087 0.1806 0.2020
U3 0.1744 0.8289 0.8223
Os1 0.5270 0.2094 0.7366
Os2 0.4710 0.7889 0.2691

Output
The formation enthalpy at 0 K is -0.11 eV per atom. The density of states at the Fermi level comes out at 2.21 states/eV per atom. The calculated total energy is -11.657 eV/atom. As for the calculated volume: 18.21 A^3/atom.

No. 2
A plane-wave DFT calculation with PBE was carried out for Al5CuMo after structural relaxation.

Lattice parameters (Å, degrees): 7.2966 4.9162 5.0101 90.00 46.53 111.62
Atoms (fractional coordinates):
Al1 0.1421 0.3002 0.0138
Al2 0.4276 0.9236 0.4759
Al3 0.9286 0.9243 0.7455
Al4 0.7143 0.5479 0.4422
Al5 0.4299 0.9246 0.9765
Cu1 0.9289 0.4246 0.6421
Mo1 0.4287 0.4241 0.2348

Output
The formation enthalpy at 0 K is -0.13 eV per atom. The density of states at the Fermi level comes out at 0.49 states/eV per atom. The calculated total energy is -4.938 eV/atom. As for the calculated volume: 16.05 A^3/atom.

No. 3
A plane-wave DFT calculation with PBE was carried out for RbMgP2Pd4 after structural relaxation.

Lattice parameters (Å, degrees): 4.1145 4.1145 10.2037 90.00 90.00 90.00
Atoms (fractional coordinates):
Rb1 0.0000 0.0000 0.5000
Mg1 0.0000 0.0000 0.0000
P1 0.5000 0.5000 0.2836
P2 0.5000 0.5000 0.7164
Pd1 0.0000 0.5000 0.1789
Pd2 0.5000 0.0000 0.8211
Pd3 0.5000 0.0000 0.1789
Pd4 0.0000 0.5000 0.8211

Output
The formation enthalpy at 0 K is -0.47 eV per atom. The density of states at the Fermi level comes out at 0.61 states/eV per atom. The calculated total energy is -4.737 eV/atom. As for the calculated volume: 21.59 A^3/atom.

No. 4
A plane-wave DFT calculation with PBE was carried out for PaSe2Cl after structural relaxation.

Lattice parameters (Å, degrees): 4.6511 4.6511 7.5577 72.08 72.08 60.00
Atoms (fractional coordinates):
Pa1 0.6489 0.6489 0.0533
Se1 0.0425 0.0425 0.8724
Se2 0.2805 0.2805 0.1584
Cl1 0.5280 0.5280 0.4159

Output
For the uncorrected formation energy, the calculation gives -1.326 eV per atom. The calculated total energy is -5.904 eV/atom. As for the calculated volume: 33.09 A^3/atom. Its relative energy among the computed polymorphs is 2.4 kJ/mol of atoms.

No. 5
A plane-wave DFT calculation with PBE was carried out for NdSm6Dy2Er3 after structural relaxation.

Lattice parameters (Å, degrees): 6.2189 6.2189 11.8492 95.00 95.00 119.98
Atoms (fractional coordinates):
Nd1 0.0000 0.0000 0.0000
Sm1 0.9158 0.5818 0.7476
Sm2 0.7503 0.7503 0.2523
Sm3 0.0842 0.4182 0.2524
Sm4 0.5818 0.9158 0.7476
Sm5 0.2497 0.2497 0.7477
Sm6 0.4182 0.0842 0.2524
Dy1 0.3334 0.6666 0.0000
Dy2 0.6666 0.3334 0.0000
Er1 0.1669 0.8331 0.5000
Er2 0.8331 0.1669 0.5000
Er3 0.5000 0.5000 0.5000

Output
The formation enthalpy at 0 K is 0.02 eV per atom. The density of states at the Fermi level comes out at 1.22 states/eV per atom. The calculated total energy is -4.649 eV/atom. As for the calculated volume: 32.57 A^3/atom.

No. 6
A plane-wave DFT calculation with PBE was carried out for Hf3Bi after structural relaxation.

Lattice parameters (Å, degrees): 3.3827 5.4560 5.9575 117.25 106.49 90.00
Atoms (fractional coordinates):
Hf1 0.2539 0.5987 0.5078
Hf2 0.5000 0.4823 0.0000
Hf3 0.7461 0.0909 0.4922
Bi1 0.0000 0.9949 0.0000

Output
The formation enthalpy at 0 K is 0.00 eV per atom. The density of states at the Fermi level comes out at 0.83 states/eV per atom. The calculated total energy is -8.435 eV/atom. As for the calculated volume: 23.16 A^3/atom.

No. 7
A plane-wave DFT calculation with PBE was carried out for IrOsPt after structural relaxation.

Lattice parameters (Å, degrees): 7.5507 7.2973 2.7241 84.72 74.23 21.05
Atoms (fractional coordinates):
Ir1 0.0053 0.0053 0.9947
Os1 0.6620 0.6620 0.3380
Pt1 0.3327 0.3327 0.6673

Output
The formation enthalpy at 0 K is 0.37 eV per atom. The density of states at the Fermi level comes out at 1.48 states/eV per atom. The calculated total energy is -8.338 eV/atom. As for the calculated volume: 15.29 A^3/atom. Its relative energy among the computed polymorphs is 33.5 kJ/mol of atoms.

No. 8
A plane-wave DFT calculation with PBE was carried out for ScCdP2 after structural relaxation.

Lattice parameters (Å, degrees): 7.0237 7.0237 5.9424 53.77 53.77 90.00
Atoms (fractional coordinates):
Sc1 0.5000 0.5000 0.0000
Sc2 0.2500 0.7500 0.5000
P1 0.6284 0.1250 0.2500
P2 0.1216 0.6250 0.2500
P3 0.3750 0.3716 0.7500
P4 0.8750 0.8784 0.7500
Cd1 0.0000 0.0000 0.0000
Cd2 0.7500 0.2500 0.5000

Output
The formation enthalpy at 0 K is -0.30 eV per atom. The density of states at the Fermi level comes out at 0.40 states/eV per atom. The calculated total energy is -4.820 eV/atom. As for the calculated volume: 20.12 A^3/atom.

No. 9
A plane-wave DFT calculation with PBE was carried out for TbAgAs2 after structural relaxation.

Lattice parameters (Å, degrees): 4.0120 4.0034 20.8706 90.00 90.00 90.00
Atoms (fractional coordinates):
Tb1 0.2500 0.2346 0.1138
Tb2 0.7500 0.7346 0.3862
Tb3 0.2500 0.2654 0.6138
Tb4 0.7500 0.7654 0.8862
Ag1 0.7500 0.2316 0.2503
Ag2 0.2500 0.7316 0.2497
Ag3 0.7500 0.2684 0.7503
Ag4 0.2500 0.7684 0.7497
As1 0.2500 0.7141 0.0011
As2 0.7500 0.7335 0.1565
As3 0.2500 0.2335 0.3435
As4 0.7500 0.2141 0.4989
As5 0.2500 0.7859 0.5011
As6 0.7500 0.7665 0.6565
As7 0.2500 0.2665 0.8435
As8 0.7500 0.2859 0.9989

Output
The formation enthalpy at 0 K is -0.75 eV per atom. The density of states at the Fermi level comes out at 0.22 states/eV per atom. The calculated total energy is -4.950 eV/atom. As for the calculated volume: 20.95 A^3/atom.

No. 10
A plane-wave DFT calculation with PBE was carried out for LiTm2Cd after structural relaxation.

Lattice parameters (Å, degrees): 5.1944 5.1944 5.1944 60.00 60.00 60.00
Atoms (fractional coordinates):
Tm1 0.2500 0.2500 0.2500
Tm2 0.7500 0.7500 0.7500
Li1 0.0000 0.0000 0.0000
Cd1 0.5000 0.5000 0.5000

Output
The formation enthalpy at 0 K is -0.11 eV per atom. The density of states at the Fermi level comes out at 1.27 states/eV per atom. The calculated total energy is -3.051 eV/atom. As for the calculated volume: 24.78 A^3/atom. Its relative energy among the computed polymorphs is 0.4 kJ/mol of atoms.

No. 11
A plane-wave DFT calculation with PBE was carried out for Sm11In9Rh4 after structural relaxation.

Lattice parameters (Å, degrees): 3.7785 13.3024 13.3024 112.39 90.00 90.00
Atoms (fractional coordinates):
Sm1 0.0000 0.5836 0.9221
Sm2 0.0000 0.4164 0.0779
Sm3 0.0000 0.9221 0.5836
Sm4 0.0000 0.0779 0.4164
Sm5 0.0000 0.6259 0.3741
Sm6 0.0000 0.3741 0.6259
Sm7 0.0000 0.8378 0.1622
Sm8 0.0000 0.1622 0.8378
Sm9 0.0000 0.0000 0.0000
Sm10 0.0000 0.6880 0.6880
Sm11 0.0000 0.3120 0.3120
In1 0.5000 0.6324 0.1598
In2 0.5000 0.3676 0.8402
In3 0.5000 0.1598 0.6324
In4 0.5000 0.8402 0.3676
In5 0.5000 0.7819 0.9230
In6 0.5000 0.2181 0.0770
In7 0.5000 0.9230 0.7819
In8 0.5000 0.0770 0.2181
In9 0.5000 0.5000 0.5000
Rh1 0.5000 0.5514 0.7539
Rh2 0.5000 0.4486 0.2461
Rh3 0.5000 0.7539 0.5514
Rh4 0.5000 0.2461 0.4486

Output
The formation enthalpy at 0 K is -0.65 eV per atom. The density of states at the Fermi level comes out at 0.61 states/eV per atom. The calculated total energy is -5.060 eV/atom. As for the calculated volume: 25.76 A^3/atom.

No. 12
A plane-wave DFT calculation with PBE was carried out for HfRe2Pb after structural relaxation.

Lattice parameters (Å, degrees): 4.1136 4.1136 10.4291 78.63 78.63 90.00
Atoms (fractional coordinates):
Pb1 0.0000 0.0000 0.0000
Pb2 0.7500 0.2500 0.5000
Re1 0.5436 0.1250 0.2500
Re2 0.2064 0.6250 0.2500
Re3 0.3750 0.4564 0.7500
Re4 0.8750 0.7936 0.7500
Hf1 0.5000 0.5000 0.0000
Hf2 0.2500 0.7500 0.5000

Output
The formation enthalpy at 0 K is 0.85 eV per atom. The density of states at the Fermi level comes out at 0.52 states/eV per atom. The calculated total energy is -8.790 eV/atom. As for the calculated volume: 21.18 A^3/atom.